## w
A plane-wave DFT calculation with PBE with a Hubbard U was carried out for a relaxed TlMoPO2 crystal.

Cell and atoms, written as CIF:
```
data_TlMoPO2
_chemical_formula_sum 'Tl1 Mo1 P1 O2'
_cell_length_a 4.066
_cell_length_b 4.066
_cell_length_c 5.915
_cell_angle_alpha 90.00
_cell_angle_beta 90.00
_cell_angle_gamma 90.00
_space_group_name_H-M_alt 'P 4/m m m'
_space_group_IT_number 123
_space_group_name_Hall '-P 4 2'
loop_
_atom_site_label
_atom_site_fract_x
_atom_site_fract_y
_atom_site_fract_z
_atom_site_occupancy
Tl1 0.000 0.000 0.000 1
Mo1 0.500 0.500 0.500 1
P1 0.000 0.000 0.500 1
O1 0.000 0.500 0.000 1
```

Summary:
ρ (g cm⁻³): 6.17
M_tot (μB per formula unit): 2.460

---

## x
A plane-wave DFT calculation with PBE with a Hubbard U was carried out for a relaxed TlMoPO2 crystal.

Cell and atoms, written as CIF:
```
data_TlMoPO2
_chemical_formula_sum 'Tl1 Mo1 P1 O2'
_cell_length_a 3.946
_cell_length_b 3.946
_cell_length_c 5.310
_cell_angle_alpha 90.00
_cell_angle_beta 90.00
_cell_angle_gamma 90.00
_space_group_name_H-M_alt 'P 4/m m m'
_space_group_IT_number 123
_space_group_name_Hall '-P 4 2'
loop_
_atom_site_label
_atom_site_fract_x
_atom_site_fract_y
_atom_site_fract_z
_atom_site_occupancy
Tl1 0.000 0.000 0.000 1
Mo1 0.500 0.500 0.500 1
P1 0.500 0.500 0.000 1
O1 0.000 0.500 0.500 1
```

Summary:
ρ (g cm⁻³): 7.30
M_tot (μB per formula unit): 1.245

---

Quick ranking, most stable first: x, w.

---

## w
A plane-wave DFT calculation with PBE with a Hubbard U was carried out for a relaxed TlMoP2O crystal.

Cell and atoms, written as CIF:
```
data_TlMoP2O
_chemical_formula_sum 'Tl1 Mo1 P2 O1'
_cell_length_a 4.920
_cell_length_b 4.920
_cell_length_c 3.856
_cell_angle_alpha 90.00
_cell_angle_beta 90.00
_cell_angle_gamma 90.00
_space_group_name_H-M_alt 'P 4/m m m'
_space_group_IT_number 123
_space_group_name_Hall '-P 4 2'
loop_
_atom_site_label
_atom_site_fract_x
_atom_site_fract_y
_atom_site_fract_z
_atom_site_occupancy
Tl1 0.000 0.000 0.000 1
Mo1 0.500 0.500 0.500 1
P1 0.000 0.500 0.500 1
O1 0.500 0.500 0.000 1
```

Summary:
ρ (g cm⁻³): 6.73
M_tot (μB per formula unit): 0.013

---

## x
A plane-wave DFT calculation with PBE with a Hubbard U was carried out for a relaxed TlMoP2O crystal.

Cell and atoms, written as CIF:
```
data_TlMoP2O
_chemical_formula_sum 'Tl1 Mo1 P2 O1'
_cell_length_a 5.163
_cell_length_b 5.163
_cell_length_c 4.135
_cell_angle_alpha 90.00
_cell_angle_beta 90.00
_cell_angle_gamma 90.00
_space_group_name_H-M_alt 'P 4/m m m'
_space_group_IT_number 123
_space_group_name_Hall '-P 4 2'
loop_
_atom_site_label
_atom_site_fract_x
_atom_site_fract_y
_atom_site_fract_z
_atom_site_occupancy
Tl1 0.000 0.000 0.000 1
Mo1 0.500 0.500 0.500 1
P1 0.000 0.500 0.000 1
O1 0.000 0.000 0.500 1
```

Summary:
ρ (g cm⁻³): 5.70
M_tot (μB per formula unit): 2.428

---

Quick ranking, most stable first: w, x.

---

## w
A plane-wave DFT calculation with PBE with a Hubbard U was carried out for a relaxed VMoP2O crystal.

Cell and atoms, written as CIF:
```
data_VMoP2O
_chemical_formula_sum 'V1 Mo1 P2 O1'
_cell_length_a 4.860
_cell_length_b 4.860
_cell_length_c 3.773
_cell_angle_alpha 90.00
_cell_angle_beta 90.00
_cell_angle_gamma 90.00
_space_group_name_H-M_alt 'P 4/m m m'
_space_group_IT_number 123
_space_group_name_Hall '-P 4 2'
loop_
_atom_site_label
_atom_site_fract_x
_atom_site_fract_y
_atom_site_fract_z
_atom_site_occupancy
V1 0.000 0.000 0.000 1
Mo1 0.500 0.500 0.500 1
P1 0.000 0.500 0.500 1
O1 0.500 0.500 0.000 1
```

Summary:
ρ (g cm⁻³): 4.19
M_tot (μB per formula unit): 2.437

---

## x
A plane-wave DFT calculation with PBE with a Hubbard U was carried out for a relaxed VMoP2O crystal.

Cell and atoms, written as CIF:
```
data_VMoP2O
_chemical_formula_sum 'V1 Mo1 P2 O1'
_cell_length_a 4.825
_cell_length_b 4.825
_cell_length_c 3.596
_cell_angle_alpha 90.00
_cell_angle_beta 90.00
_cell_angle_gamma 90.00
_space_group_name_H-M_alt 'P 4/m m m'
_space_group_IT_number 123
_space_group_name_Hall '-P 4 2'
loop_
_atom_site_label
_atom_site_fract_x
_atom_site_fract_y
_atom_site_fract_z
_atom_site_occupancy
V1 0.000 0.000 0.000 1
Mo1 0.500 0.500 0.500 1
P1 0.000 0.500 0.000 1
O1 0.000 0.000 0.500 1
```

Summary:
ρ (g cm⁻³): 4.46
M_tot (μB per formula unit): 3.700

---

Quick ranking, most stable first: x, w.

---

## w
A plane-wave DFT calculation with PBE with a Hubbard U was carried out for a relaxed MoP2WO crystal.

Cell and atoms, written as CIF:
```
data_MoP2WO
_chemical_formula_sum 'Mo1 P2 W1 O1'
_cell_length_a 4.930
_cell_length_b 4.930
_cell_length_c 3.798
_cell_angle_alpha 90.00
_cell_angle_beta 90.00
_cell_angle_gamma 90.00
_space_group_name_H-M_alt 'P 4/m m m'
_space_group_IT_number 123
_space_group_name_Hall '-P 4 2'
loop_
_atom_site_label
_atom_site_fract_x
_atom_site_fract_y
_atom_site_fract_z
_atom_site_occupancy
Mo1 0.000 0.000 0.000 1
P1 0.000 0.500 0.500 1
W1 0.500 0.500 0.500 1
O1 0.500 0.500 0.000 1
```

Summary:
ρ (g cm⁻³): 6.43
M_tot (μB per formula unit): 4.311

---

## x
A plane-wave DFT calculation with PBE with a Hubbard U was carried out for a relaxed MoP2WO crystal.

Cell and atoms, written as CIF:
```
data_MoP2WO
_chemical_formula_sum 'Mo1 P2 W1 O1'
_cell_length_a 4.912
_cell_length_b 4.912
_cell_length_c 3.756
_cell_angle_alpha 90.00
_cell_angle_beta 90.00
_cell_angle_gamma 90.00
_space_group_name_H-M_alt 'P 4/m m m'
_space_group_IT_number 123
_space_group_name_Hall '-P 4 2'
loop_
_atom_site_label
_atom_site_fract_x
_atom_site_fract_y
_atom_site_fract_z
_atom_site_occupancy
Mo1 0.000 0.000 0.000 1
P1 0.000 0.500 0.000 1
W1 0.500 0.500 0.500 1
O1 0.000 0.000 0.500 1
```

Summary:
ρ (g cm⁻³): 6.56
M_tot (μB per formula unit): 4.358

---

Quick ranking, most stable first: w, x.

---

## w
A plane-wave DFT calculation with PBE with a Hubbard U was carried out for a relaxed MoPWO2 crystal.

Cell and atoms, written as CIF:
```
data_MoPWO2
_chemical_formula_sum 'Mo1 P1 W1 O2'
_cell_length_a 3.869
_cell_length_b 3.869
_cell_length_c 5.453
_cell_angle_alpha 90.00
_cell_angle_beta 90.00
_cell_angle_gamma 90.00
_space_group_name_H-M_alt 'P 4/m m m'
_space_group_IT_number 123
_space_group_name_Hall '-P 4 2'
loop_
_atom_site_label
_atom_site_fract_x
_atom_site_fract_y
_atom_site_fract_z
_atom_site_occupancy
Mo1 0.000 0.000 0.000 1
P1 0.500 0.500 0.000 1
W1 0.500 0.500 0.500 1
O1 0.000 0.500 0.500 1
```

Summary:
ρ (g cm⁻³): 6.97
M_tot (μB per formula unit): 5.000

---

## x
A plane-wave DFT calculation with PBE with a Hubbard U was carried out for a relaxed MoPWO2 crystal.

Cell and atoms, written as CIF:
```
data_MoPWO2
_chemical_formula_sum 'Mo1 P1 W1 O2'
_cell_length_a 3.850
_cell_length_b 3.850
_cell_length_c 5.523
_cell_angle_alpha 90.00
_cell_angle_beta 90.00
_cell_angle_gamma 90.00
_space_group_name_H-M_alt 'P 4/m m m'
_space_group_IT_number 123
_space_group_name_Hall '-P 4 2'
loop_
_atom_site_label
_atom_site_fract_x
_atom_site_fract_y
_atom_site_fract_z
_atom_site_occupancy
Mo1 0.000 0.000 0.000 1
P1 0.000 0.000 0.500 1
W1 0.500 0.500 0.500 1
O1 0.000 0.500 0.000 1
```

Summary:
ρ (g cm⁻³): 6.95
M_tot (μB per formula unit): 4.968

---

Quick ranking, most stable first: w, x.

---

## w
A plane-wave DFT calculation with PBE with a Hubbard U was carried out for a relaxed ZnMoP2O crystal.

Cell and atoms, written as CIF:
```
data_ZnMoP2O
_chemical_formula_sum 'Zn1 Mo1 P2 O1'
_cell_length_a 4.819
_cell_length_b 4.819
_cell_length_c 3.629
_cell_angle_alpha 90.00
_cell_angle_beta 90.00
_cell_angle_gamma 90.00
_space_group_name_H-M_alt 'P 4/m m m'
_space_group_IT_number 123
_space_group_name_Hall '-P 4 2'
loop_
_atom_site_label
_atom_site_fract_x
_atom_site_fract_y
_atom_site_fract_z
_atom_site_occupancy
Zn1 0.000 0.000 0.000 1
Mo1 0.500 0.500 0.500 1
P1 0.000 0.500 0.000 1
O1 0.000 0.000 0.500 1
```

Summary:
ρ (g cm⁻³): 4.71
M_tot (μB per formula unit): 2.798

---

## x
A plane-wave DFT calculation with PBE with a Hubbard U was carried out for a relaxed ZnMoP2O crystal.

Cell and atoms, written as CIF:
```
data_ZnMoP2O
_chemical_formula_sum 'Zn1 Mo1 P2 O1'
_cell_length_a 4.832
_cell_length_b 4.832
_cell_length_c 3.798
_cell_angle_alpha 90.00
_cell_angle_beta 90.00
_cell_angle_gamma 90.00
_space_group_name_H-M_alt 'P 4/m m m'
_space_group_IT_number 123
_space_group_name_Hall '-P 4 2'
loop_
_atom_site_label
_atom_site_fract_x
_atom_site_fract_y
_atom_site_fract_z
_atom_site_occupancy
Zn1 0.000 0.000 0.000 1
Mo1 0.500 0.500 0.500 1
P1 0.000 0.500 0.500 1
O1 0.500 0.500 0.000 1
```

Summary:
ρ (g cm⁻³): 4.48
M_tot (μB per formula unit): 0.000

---

Quick ranking, most stable first: x, w.